A) First-principles (PBE) data for LiRu2Pt after structural relaxation, as listed in the Alexandria database.

Cell and atoms, written as CIF:
```
data_LiRu2Pt
_chemical_formula_sum 'Li2 Ru4 Pt2'
_cell_length_a 2.764
_cell_length_b 4.599
_cell_length_c 9.134
_cell_angle_alpha 90.00
_cell_angle_beta 90.00
_cell_angle_gamma 90.00
_symmetry_space_group_name_H-M 'C m m 2'
_symmetry_Int_Tables_number 35
loop_
_symmetry_equiv_pos_as_xyz
'x,y,z'
'-x,-y,z'
'-x,y,z'
'x,-y,z'
'x+1/2,y+1/2,z'
'-x+1/2,-y+1/2,z'
'-x+1/2,y+1/2,z'
'x+1/2,-y+1/2,z'
loop_
_atom_site_label
_atom_site_fract_x
_atom_site_fract_y
_atom_site_fract_z
Li1 0.000 0.000 0.000
Ru1 0.000 0.000 0.492
Ru2 0.000 0.500 0.254
Pt1 0.000 0.500 0.762
```

Output
N(E_F) = 1.04 states/eV/atom
Volume = 14.51 Å³/atom
Total magnetization = 1.741 Bohr magnetons per cell

B) First-principles (PBE) data for LiRu2Pt after structural relaxation, as listed in the Alexandria database.

Cell and atoms, written as CIF:
```
data_LiRu2Pt
_chemical_formula_sum 'Li2 Ru4 Pt2'
_cell_length_a 5.018
_cell_length_b 8.360
_cell_length_c 2.679
_cell_angle_alpha 90.00
_cell_angle_beta 90.00
_cell_angle_gamma 90.00
_symmetry_space_group_name_H-M 'C m m m'
_symmetry_Int_Tables_number 65
_symmetry_space_group_name_Hall '-C 2 2'
loop_
_atom_site_label
_atom_site_fract_x
_atom_site_fract_y
_atom_site_fract_z
Li1 0.000 0.000 0.000
Ru1 0.250 0.250 0.500
Pt1 0.000 0.500 0.000
```

Output
N(E_F) = 1.10 states/eV/atom
Volume = 14.04 Å³/atom
Total magnetization = 0.002 Bohr magnetons per cell

C) First-principles (PBE) data for LiRu2Pt after structural relaxation, as listed in the Alexandria database.

Cell and atoms, written as CIF:
```
data_LiRu2Pt
_chemical_formula_sum 'Li4 Ru8 Pt4'
_cell_length_a 6.066
_cell_length_b 6.066
_cell_length_c 6.066
_cell_angle_alpha 90.00
_cell_angle_beta 90.00
_cell_angle_gamma 90.00
_symmetry_space_group_name_H-M 'F -4 3 m'
_symmetry_Int_Tables_number 216
_symmetry_space_group_name_Hall 'F -4 2 3'
loop_
_atom_site_label
_atom_site_fract_x
_atom_site_fract_y
_atom_site_fract_z
Li1 0.000 0.000 0.000
Ru1 0.000 0.000 0.500
Ru2 0.250 0.250 0.250
Pt1 0.250 0.250 0.750
```

Output
N(E_F) = 1.29 states/eV/atom
Volume = 13.95 Å³/atom
Total magnetization = 3.486 Bohr magnetons per cell

D) First-principles (PBE) data for LiRu2Pt after structural relaxation, as listed in the Alexandria database.

Cell and atoms, written as CIF:
```
data_LiRu2Pt
_chemical_formula_sum 'Li3 Ru6 Pt3'
_cell_length_a 2.7015
_cell_length_b 2.7015
_cell_length_c 27.4257
_cell_angle_alpha 90.00
_cell_angle_beta 90.00
_cell_angle_gamma 120.00
_symmetry_space_group_name_H-M 'R -3 m'
_symmetry_Int_Tables_number 166
_symmetry_space_group_name_Hall '-R 3 2"'
loop_
_atom_site_label
_atom_site_fract_x
_atom_site_fract_y
_atom_site_fract_z
Li1 0.0000 0.0000 0.0000
Ru1 0.0000 0.0000 0.2499
Pt1 0.0000 0.0000 0.5000
```

Output
N(E_F) = 1.33 states/eV/atom
Volume = 14.44 Å³/atom
Total magnetization = 0.000 Bohr magnetons per cell

The structure with the greatest stability is B).

A) First-principles (PBE) data for LiRuPt after structural relaxation, as listed in the Alexandria database.

Cell and atoms, written as CIF:
```
data_LiRuPt
_chemical_formula_sum 'Li2 Ru2 Pt2'
_cell_length_a 2.689
_cell_length_b 2.689
_cell_length_c 12.058
_cell_angle_alpha 90.00
_cell_angle_beta 90.00
_cell_angle_gamma 90.00
_symmetry_space_group_name_H-M 'I 4 m m'
_symmetry_Int_Tables_number 107
_symmetry_space_group_name_Hall 'I 4 -2'
loop_
_atom_site_label
_atom_site_fract_x
_atom_site_fract_y
_atom_site_fract_z
Li1 0.000 0.000 0.000
Ru1 0.000 0.000 0.324
Pt1 0.000 0.000 0.666
```

Output
N(E_F) = 1.00 states/eV/atom
Volume = 14.53 Å³/atom
Total magnetization = 0.000 Bohr magnetons per cell

B) First-principles (PBE) data for LiRuPt after structural relaxation, as listed in the Alexandria database.

Cell and atoms, written as CIF:
```
data_LiRuPt
_chemical_formula_sum 'Li1 Ru1 Pt1'
_cell_length_a 4.2665
_cell_length_b 4.2665
_cell_length_c 2.6653
_cell_angle_alpha 90.00
_cell_angle_beta 90.00
_cell_angle_gamma 120.00
_symmetry_space_group_name_H-M 'P 3 m 1'
_symmetry_Int_Tables_number 156
loop_
_symmetry_equiv_pos_as_xyz
'x,y,z'
'-y,x-y,z'
'-x+y,-x,z'
'-y,-x,z'
'-x+y,y,z'
'x,x-y,z'
loop_
_atom_site_label
_atom_site_fract_x
_atom_site_fract_y
_atom_site_fract_z
Li1 0.0000 0.0000 0.0000
Ru1 0.6667 0.3333 0.6536
Pt1 0.3333 0.6667 0.2103
```

Output
N(E_F) = 1.18 states/eV/atom
Volume = 14.01 Å³/atom
Total magnetization = 1.679 Bohr magnetons per cell

C) First-principles (PBE) data for LiRuPt after structural relaxation, as listed in the Alexandria database.

Cell and atoms, written as CIF:
```
data_LiRuPt
_chemical_formula_sum 'Li4 Ru4 Pt4'
_cell_length_a 2.749
_cell_length_b 4.577
_cell_length_c 13.923
_cell_angle_alpha 90.00
_cell_angle_beta 90.00
_cell_angle_gamma 90.00
_symmetry_space_group_name_H-M 'F m m 2'
_symmetry_Int_Tables_number 42
_symmetry_space_group_name_Hall 'F 2 -2'
loop_
_atom_site_label
_atom_site_fract_x
_atom_site_fract_y
_atom_site_fract_z
Li1 0.000 0.000 0.000
Ru1 0.000 0.000 0.335
Pt1 0.000 0.000 0.659
```

Output
N(E_F) = 1.23 states/eV/atom
Volume = 14.60 Å³/atom
Total magnetization = 4.608 Bohr magnetons per cell

The structure with the greatest stability is A).

A) First-principles (PBE) data for LiRuPt after structural relaxation, as listed in the Alexandria database.

Cell and atoms, written as CIF:
```
data_LiRuPt
_chemical_formula_sum 'Li2 Ru2 Pt2'
_cell_length_a 2.7073
_cell_length_b 2.7073
_cell_length_c 13.5174
_cell_angle_alpha 90.00
_cell_angle_beta 90.00
_cell_angle_gamma 120.00
_symmetry_space_group_name_H-M 'P -6 m 2'
_symmetry_Int_Tables_number 187
_symmetry_space_group_name_Hall 'P -6 2'
loop_
_atom_site_label
_atom_site_fract_x
_atom_site_fract_y
_atom_site_fract_z
Li1 0.0000 0.0000 0.1675
Ru1 0.0000 0.0000 0.5000
Ru2 0.3333 0.6667 0.0000
Pt1 0.3333 0.6667 0.3305
```

Output
N(E_F) = 0.86 states/eV/atom
Volume = 14.30 Å³/atom
Total magnetization = 0.000 Bohr magnetons per cell

B) First-principles (PBE) data for LiRuPt after structural relaxation, as listed in the Alexandria database.

Cell and atoms, written as CIF:
```
data_LiRuPt
_chemical_formula_sum 'Li4 Ru4 Pt4'
_cell_length_a 5.837
_cell_length_b 5.837
_cell_length_c 5.837
_cell_angle_alpha 90.00
_cell_angle_beta 90.00
_cell_angle_gamma 90.00
_symmetry_space_group_name_H-M 'F -4 3 m'
_symmetry_Int_Tables_number 216
_symmetry_space_group_name_Hall 'F -4 2 3'
loop_
_atom_site_label
_atom_site_fract_x
_atom_site_fract_y
_atom_site_fract_z
Li1 0.000 0.000 0.000
Ru1 0.000 0.000 0.500
Pt1 0.250 0.250 0.750
```

Output
N(E_F) = 1.39 states/eV/atom
Volume = 16.57 Å³/atom
Total magnetization = 1.477 Bohr magnetons per cell

C) First-principles (PBE) data for LiRuPt after structural relaxation, as listed in the Alexandria database.

Cell and atoms, written as CIF:
```
data_LiRuPt
_chemical_formula_sum 'Li2 Ru2 Pt2'
_cell_length_a 2.695
_cell_length_b 3.919
_cell_length_c 7.849
_cell_angle_alpha 90.00
_cell_angle_beta 90.00
_cell_angle_gamma 90.00
_symmetry_space_group_name_H-M 'I m m 2'
_symmetry_Int_Tables_number 44
loop_
_symmetry_equiv_pos_as_xyz
'x,y,z'
'-x,-y,z'
'-x,y,z'
'x,-y,z'
'x+1/2,y+1/2,z+1/2'
'-x+1/2,-y+1/2,z+1/2'
'-x+1/2,y+1/2,z+1/2'
'x+1/2,-y+1/2,z+1/2'
loop_
_atom_site_label
_atom_site_fract_x
_atom_site_fract_y
_atom_site_fract_z
Li1 0.000 0.000 0.000
Ru1 0.000 0.000 0.330
Pt1 0.000 0.000 0.665
```

Output
N(E_F) = 0.80 states/eV/atom
Volume = 13.82 Å³/atom
Total magnetization = 0.000 Bohr magnetons per cell

The structure with the greatest stability is A).